The following is a GGA-PBE calculation of an optimized crystal structure of TiCu, from Alexandria.

The structure in extended XYZ format:
```
8
Lattice="5.553 0.000 0.000 0.000 5.553 0.000 0.000 0.000 5.553" Properties=species:S:1:pos:R:3 pbc="T T T"
Cu 0.000 0.000 0.000
Cu 2.777 2.777 0.000
Cu 0.000 2.777 2.777
Cu 2.777 0.000 2.777
Ti 1.388 1.388 1.388
Ti 1.388 4.165 4.165
Ti 4.165 4.165 1.388
Ti 4.165 1.388 4.165
```

Computed properties:
Its crystal system is cubic. The value obtained for the energy relative to the elements is 1.143 eV/atom. As for the total energy: -9.705 eV per formula unit.